CePm6NdHo2 | GGA-PBE | optimized geometry

- ΔE_f (eV per atom) = 0.240
- density of states at the Fermi level (states/eV/f.u.) = 22.91
- density (kg/m³) = 7194

Cell: 6.6593 6.6593 8.9766 Å, 101.94 101.94 62.50°
Positions (direct):
Ce1 0.0000 0.0000 0.0000
Pm1 0.0926 0.5670 0.1978
Pm2 0.1289 0.1289 0.4161
Pm3 0.4330 0.9074 0.8022
Pm4 0.5670 0.0926 0.1978
Pm5 0.8711 0.8711 0.5839
Pm6 0.9074 0.4330 0.8022
Nd1 0.5000 0.5000 0.5000
Ho1 0.4091 0.4091 0.8385
Ho2 0.5909 0.5909 0.1615

***

RbSnTe2O8 | GGA-PBE | optimized geometry

- uncorrected energy (eV for the cell shown) = -64.01
- density of states at the Fermi level (states/eV/f.u.) = 2.80
- density (kg/m³) = 4097

Cell: 5.5081 5.5081 9.0606 Å, 90.00 90.00 120.00°
Positions (direct):
Rb1 0.0000 0.0000 0.0000
Sn1 0.0000 0.0000 0.5000
Te1 0.3333 0.6667 0.7044
Te2 0.6667 0.3333 0.2956
O1 0.0297 0.3180 0.6395
O2 0.2883 0.9703 0.6395
O3 0.3180 0.2883 0.3605
O4 0.3333 0.6667 0.9062
O5 0.6667 0.3333 0.0938
O6 0.6820 0.7117 0.6395
O7 0.7117 0.0297 0.3605
O8 0.9703 0.6820 0.3605